# 1
VASP calculation (PBE-GGA) on crystalline Ti2Tl2I7 at its relaxed geometry.

The structure in POSCAR format:
```
Ti2Tl2I7
1.0
4.264 -7.626 0.000
4.264 7.626 0.000
-1.532 0.000 7.889
Ti Tl I
2 2 7
Cartesian
1.366 0.000 0.647
5.631 0.000 7.242
3.499 4.453 3.944
3.499 -4.453 3.944
-0.478 0.000 5.879
1.762 2.539 1.647
1.762 -2.539 1.647
4.264 0.000 0.000
5.235 2.539 6.242
5.235 -2.539 6.242
7.475 0.000 2.010
```

Results
- SG = C2/m (12)
- size of the total moment (μB per atom) = 0.09
- V (A^3/atom) = 46.645
- formation energy (no corrections) (meV/atom) = -579
- Fermi-level density of states (states/eV/atom) = 0.311



# 2
VASP calculation (PBE-GGA) on crystalline Ca3YTa at its relaxed geometry.

The structure in POSCAR format:
```
Ca3YTa
1.0
5.677 0.000 0.000
0.000 5.677 0.000
0.000 0.000 5.677
Ca Y Ta
3 1 1
Cartesian
0.000 0.000 2.838
0.000 2.838 0.000
2.838 0.000 0.000
2.838 2.838 2.838
0.000 0.000 0.000
```

Results
- SG = Pm-3m (221)
- size of the total moment (μB per atom) = 0.13
- V (A^3/atom) = 36.584
- DFT formation energy (kJ/mol of atoms) = 97.48
- Fermi-level density of states (states/eV/atom) = 1.137
- energy relative to the lowest polymorph listed for this composition (eV per atom) = 0.000



# 3
VASP calculation (PBE-GGA) on crystalline Tb8Sn2Te at its relaxed geometry.

The structure in POSCAR format:
```
Tb8Sn2Te
1.0
9.119 -2.582 0.000
9.119 2.582 0.000
-0.394 0.000 6.930
Tb Sn Te
8 2 1
Cartesian
0.394 0.000 1.756
3.881 0.000 0.915
5.899 0.000 3.992
7.377 0.000 0.448
10.468 0.000 6.482
11.946 0.000 2.938
13.964 0.000 6.015
17.451 0.000 5.174
2.766 0.000 4.732
15.078 0.000 2.198
8.922 0.000 3.465
```

Results
- SG = C2/m (12)
- size of the total moment (μB per atom) = 0.00
- V (A^3/atom) = 29.665
- formation energy (no corrections) (meV/atom) = -492
- Fermi-level density of states (states/eV/atom) = 1.037



# 4
VASP calculation (PBE-GGA) on crystalline NaCdHg4 at its relaxed geometry.

The structure in POSCAR format:
```
NaCdHg4
1.0
10.594 0.000 0.000
0.000 4.104 0.000
-2.664 0.000 7.010
Na Cd Hg
2 2 8
Cartesian
0.000 0.000 0.000
5.297 2.052 0.000
-1.332 0.000 3.505
3.965 2.052 3.505
0.845 2.052 2.332
-0.446 2.052 5.824
3.080 0.000 1.186
1.789 0.000 4.677
6.142 0.000 2.332
4.851 0.000 5.824
8.377 2.052 1.186
7.086 2.052 4.677
```

Results
- SG = C2/m (12)
- size of the total moment (μB per atom) = 0.00
- V (A^3/atom) = 25.397
- DFT formation energy (kJ/mol of atoms) = -11.06
- Fermi-level density of states (states/eV/atom) = 0.265
- energy relative to the lowest polymorph listed for this composition (eV per atom) = 0.000